First-principles (GGA-PBE) data for a geometry-optimized Rb2LiOsO4 structure, as listed in Alexandria via LeMat-Bulk.

Computed properties:
Uncorrected formation energy ... -127.2 kJ/mol of atoms
Theoretical density ... 4362 kg/m³

a b c (Å): 11.498 9.875 7.000
angles (deg): 84.06 58.68 37.27
Sites, in units of the cell vectors:
Rb (0.047, 0.047, 0.703)
Rb (0.297, 0.297, 0.953)
Rb (0.703, 0.703, 0.047)
Rb (0.953, 0.953, 0.297)
Li (0.125, 0.125, 0.125)
Li (0.875, 0.875, 0.875)
Os (0.375, 0.375, 0.375)
Os (0.625, 0.625, 0.625)
O (0.011, 0.681, 0.551)
O (0.257, 0.551, 0.681)
O (0.319, 0.989, 0.743)
O (0.449, 0.743, 0.989)
O (0.551, 0.257, 0.011)
O (0.681, 0.011, 0.257)
O (0.743, 0.449, 0.319)
O (0.989, 0.319, 0.449)



First-principles (GGA-PBE) data for a geometry-optimized NbZnBi3 structure, as listed in Alexandria via LeMat-Bulk.

Computed properties:
Distance to the lowest polymorph of the same formula ... 0.000 eV per atom
Theoretical density ... 7772 kg/m³
ΔE_f ... 2.5 eV/f.u.

a b c (Å): 5.515 5.515 5.515
angles (deg): 90.00 90.00 90.00
Sites, in units of the cell vectors:
Nb (0.000, 0.000, 0.000)
Zn (0.500, 0.500, 0.500)
Bi (0.000, 0.000, 0.500)
Bi (0.000, 0.500, 0.000)
Bi (0.500, 0.000, 0.000)



The highest theoretical density belongs to which entry? NbZnBi3



Which formula does entry 1 have? Rb2LiOsO4



What is the theoretical density in the first record? 4362 kg/m³



Which of these has the lowest theoretical density? Rb2LiOsO4